No. 1
PmSmErTm, optimized geometry, DFT PBE-GGA; magnetization = 0.000 μB/cell; excess energy over the best structure of this formula in the dataset = 0.000 eV per atom; mass density = 8.150 g cm⁻³; Fermi-level density of states = 5.68 states/eV per cell; total DFT energy (no corrections) = -0.169 Ha/atom
1.0
1.794 1.036 11.544
-1.794 1.036 11.544
0.000 -2.071 11.544
Pm Sm Er Tm
1 1 1 1
Direct
0.000 0.000 0.000 Pm
0.834 0.834 0.834 Sm
0.250 0.250 0.250 Er
0.418 0.418 0.418 Tm

---

No. 2
Sb2PdIBr, optimized geometry, DFT PBE-GGA; magnetization = 0.000 μB/cell; excess energy over the best structure of this formula in the dataset = 0.915 eV per atom; mass density = 5.319 g cm⁻³; Fermi-level density of states = 4.60 states/eV per cell; formation energy (no corrections) = 1.138 eV/atom; total DFT energy (no corrections) = -0.081 Ha/atom
1.0
5.564 0.000 0.000
0.000 5.564 0.000
0.000 0.000 5.615
Sb Pd I Br
2 1 1 1
Direct
0.000 0.500 0.000 Sb
0.500 0.000 0.000 Sb
0.000 0.000 0.500 Pd
0.500 0.500 0.500 I
0.500 0.500 0.000 Br

---

No. 3
LaIn4Mo, optimized geometry, DFT PBE-GGA; magnetization = 0.593 μB/cell; mass density = 8.007 g cm⁻³; Fermi-level density of states = 4.80 states/eV per cell; total DFT energy (no corrections) = -0.154 Ha/atom
1.0
0.000 4.160 4.160
4.160 0.000 4.160
4.160 4.160 0.000
La In Mo
1 4 1
Direct
0.000 0.000 0.000 La
0.375 0.375 0.375 In
0.375 0.375 0.874 In
0.375 0.874 0.375 In
0.874 0.375 0.375 In
0.750 0.750 0.750 Mo

---

No. 4
Cu3ReP, optimized geometry, DFT PBE-GGA; magnetization = 2.657 μB/cell; excess energy over the best structure of this formula in the dataset = 0.000 eV per atom; mass density = 8.901 g cm⁻³; Fermi-level density of states = 3.16 states/eV per cell; total DFT energy (no corrections) = -0.184 Ha/atom
1.0
4.237 0.000 0.000
0.000 4.237 0.000
0.000 0.000 4.237
Cu Re P
3 1 1
Direct
0.000 0.000 0.500 Cu
0.000 0.500 0.000 Cu
0.500 0.000 0.000 Cu
0.500 0.500 0.500 Re
0.000 0.000 0.000 P

---

No. 5
Ac19Pm4Nd6, optimized geometry, DFT PBE-GGA; magnetization = 0.000 μB/cell; mass density = 7.591 g cm⁻³; Fermi-level density of states = 43.24 states/eV per cell; total DFT energy (no corrections) = -0.147 Ha/atom
1.0
-6.804 6.804 6.804
6.804 -6.804 6.804
6.804 6.804 -6.804
Ac Pm Nd
19 4 6
Direct
0.000 0.000 0.000 Ac
0.000 0.265 0.265 Ac
0.000 0.735 0.735 Ac
0.008 0.788 0.344 Ac
0.212 0.220 0.556 Ac
0.220 0.556 0.212 Ac
0.265 0.000 0.265 Ac
0.265 0.265 0.000 Ac
0.336 0.780 0.992 Ac
0.344 0.008 0.788 Ac
0.444 0.664 0.656 Ac
0.556 0.212 0.220 Ac
0.656 0.444 0.664 Ac
0.664 0.656 0.444 Ac
0.735 0.000 0.735 Ac
0.735 0.735 0.000 Ac
0.780 0.992 0.336 Ac
0.788 0.344 0.008 Ac
0.992 0.336 0.780 Ac
0.000 0.000 0.646 Pm
0.000 0.646 0.000 Pm
0.354 0.354 0.354 Pm
0.646 0.000 0.000 Pm
0.116 0.616 0.500 Nd
0.384 0.500 0.884 Nd
0.500 0.116 0.616 Nd
0.500 0.884 0.384 Nd
0.616 0.500 0.116 Nd
0.884 0.384 0.500 Nd

---

No. 6
ZrBeRh, optimized geometry, DFT PBE-GGA; magnetization = 0.000 μB/cell; excess energy over the best structure of this formula in the dataset = 0.146 eV per atom; mass density = 7.317 g cm⁻³; Fermi-level density of states = 2.38 states/eV per cell; total DFT energy (no corrections) = -0.259 Ha/atom
1.0
4.095 0.000 0.000
-2.047 3.546 0.000
0.000 0.000 3.175
Zr Be Rh
1 1 1
Direct
0.000 0.000 0.000 Zr
0.667 0.333 0.500 Be
0.333 0.667 0.500 Rh

---

No. 7
Ba2Te2Ir, optimized geometry, DFT PBE-GGA; magnetization = 0.218 μB/cell; mass density = 6.875 g cm⁻³; Fermi-level density of states = 1.78 states/eV per cell; formation energy (no corrections) = -0.283 eV/atom; total DFT energy (no corrections) = -0.150 Ha/atom
1.0
-2.145 2.145 9.480
2.145 -2.145 9.480
2.145 2.145 -9.480
Ba Te Ir
2 2 1
Direct
0.092 0.092 0.000 Ba
0.908 0.908 0.000 Ba
0.250 0.750 0.500 Te
0.750 0.250 0.500 Te
0.500 0.500 0.000 Ir

---

No. 8
K2YBiBr, optimized geometry, DFT PBE-GGA; magnetization = 0.938 μB/cell; mass density = 2.757 g cm⁻³; Fermi-level density of states = 1.60 states/eV per cell; formation energy (no corrections) = -0.387 eV/atom; total DFT energy (no corrections) = -0.119 Ha/atom
1.0
6.837 0.000 0.000
0.000 6.837 0.000
0.000 0.000 5.877
K Y Bi Br
2 1 1 1
Direct
0.000 0.500 0.000 K
0.500 0.000 0.000 K
0.000 0.000 0.500 Y
0.000 0.000 0.000 Bi
0.500 0.500 0.500 Br

---

No. 9
SrCa6Mg6, optimized geometry, DFT PBE-GGA; magnetization = 0.000 μB/cell; mass density = 1.801 g cm⁻³; Fermi-level density of states = 13.61 states/eV per cell; total DFT energy (no corrections) = -0.067 Ha/atom
1.0
-3.284 5.720 5.816
3.284 -5.720 5.816
3.284 5.720 -5.816
Sr Ca Mg
1 6 6
Direct
0.000 0.000 0.000 Sr
0.186 0.500 0.686 Ca
0.341 0.341 0.000 Ca
0.346 0.000 0.346 Ca
0.654 0.000 0.654 Ca
0.659 0.659 0.000 Ca
0.814 0.500 0.314 Ca
0.000 0.000 0.500 Mg
0.000 0.500 0.000 Mg
0.233 0.733 0.500 Mg
0.500 0.000 0.000 Mg
0.500 0.500 0.500 Mg
0.767 0.267 0.500 Mg

---

No. 10
Ac4Sb2PCl, optimized geometry, DFT PBE-GGA; magnetization = 0.000 μB/cell; mass density = 7.325 g cm⁻³; Fermi-level density of states = 3.12 states/eV per cell; formation energy (no corrections) = -1.365 eV/atom; total DFT energy (no corrections) = -0.197 Ha/atom
1.0
7.878 0.000 0.000
0.000 4.637 0.000
-2.704 0.000 7.558
Ac Sb P Cl
4 2 1 1
Direct
0.232 0.000 0.233 Ac
0.240 0.500 0.761 Ac
0.760 0.500 0.239 Ac
0.768 0.000 0.767 Ac
0.500 0.000 0.000 Sb
0.500 0.500 0.500 Sb
0.000 0.500 0.000 P
0.000 0.000 0.500 Cl

---

No. 11
KCa2Ni, optimized geometry, DFT PBE-GGA; magnetization = 0.000 μB/cell; excess energy over the best structure of this formula in the dataset = 0.089 eV per atom; mass density = 1.980 g cm⁻³; Fermi-level density of states = 2.65 states/eV per cell; total DFT energy (no corrections) = -0.094 Ha/atom
1.0
4.184 0.000 0.000
0.000 3.885 0.000
-2.079 0.000 9.181
K Ca Ni
1 2 1
Direct
0.000 0.000 0.000 K
0.320 0.000 0.640 Ca
0.687 0.500 0.372 Ca
0.834 0.500 0.669 Ni

---

No. 12
AcCdGa2, optimized geometry, DFT PBE-GGA; magnetization = 0.000 μB/cell; excess energy over the best structure of this formula in the dataset = 0.277 eV per atom; mass density = 7.852 g cm⁻³; Fermi-level density of states = 2.77 states/eV per cell; total DFT energy (no corrections) = -0.110 Ha/atom
1.0
3.773 0.000 0.000
0.000 3.773 0.000
0.000 0.000 7.113
Ac Cd Ga
1 1 2
Direct
0.000 0.000 0.000 Ac
0.000 0.000 0.500 Cd
0.500 0.500 0.304 Ga
0.500 0.500 0.696 Ga